An optimized crystal structure of Cd3IrCl, computed with PBE.

Calculated values
- energy above the most stable polymorph in this dataset (meV per atom) = 0.0
- volume (Å³ per atom) = 28.57
- raw formation energy (meV/atom) = 185
- total DFT energy (no corrections) (eV for the cell shown) = -12.5

Cell: 5.2272 5.2272 5.2272 Å, 90.00 90.00 90.00°
Space group Pm-3m (No. 221)
Symmetry-distinct sites (fractional):
Cd 0.0000 0.0000 0.5000 x3
Ir 0.0000 0.0000 0.0000 x1
Cl 0.5000 0.5000 0.5000 x1

---

An optimized crystal structure of CdIr2Cl, computed with PBE.

Calculated values
- energy above the most stable polymorph in this dataset (meV per atom) = 596.0
- volume (Å³ per atom) = 16.38
- raw formation energy (meV/atom) = 791
- total DFT energy (no corrections) (eV for the cell shown) = -17.3

Cell: 2.8837 2.8837 7.8790 Å, 90.00 90.00 90.00°
Space group P4/mmm (No. 123)
Symmetry-distinct sites (fractional):
Cd 0.0000 0.0000 0.0000 x1
Ir 0.5000 0.5000 0.2638 x2
Cl 0.0000 0.0000 0.5000 x1

---

An optimized crystal structure of CdIrCl2, computed with PBE.

Calculated values
- energy above the most stable polymorph in this dataset (meV per atom) = 768.4
- volume (Å³ per atom) = 22.72
- raw formation energy (meV/atom) = 591
- total DFT energy (no corrections) (eV for the cell shown) = -11.1

Cell: 3.1521 3.1521 9.1463 Å, 90.00 90.00 90.00°
Space group P4/mmm (No. 123)
Symmetry-distinct sites (fractional):
Cd 0.0000 0.0000 0.0000 x1
Ir 0.0000 0.0000 0.5000 x1
Cl 0.5000 0.5000 0.3246 x2

---

An optimized crystal structure of CdIrCl2, computed with PBE.

Calculated values
- energy above the most stable polymorph in this dataset (meV per atom) = 549.1
- volume (Å³ per atom) = 19.11
- raw formation energy (meV/atom) = 372
- total DFT energy (no corrections) (eV for the cell shown) = -24.0

Cell: 6.1521 8.5582 3.4127 Å, 90.00 121.71 90.00°
Space group C2/m (No. 12)
Symmetry-distinct sites (fractional):
Cd 0.0000 0.0000 0.0000 x2
Ir 0.0000 0.5000 0.0000 x2
Cl 0.2500 0.2500 0.0000 x4

---

An optimized crystal structure of CdIr2Cl, computed with PBE.

Calculated values
- energy above the most stable polymorph in this dataset (meV per atom) = 873.5
- volume (Å³ per atom) = 16.73
- raw formation energy (meV/atom) = 1069
- total DFT energy (no corrections) (eV for the cell shown) = -64.8

Cell: 6.4443 6.4443 6.4443 Å, 90.00 90.00 90.00°
Space group Fm-3m (No. 225)
Symmetry-distinct sites (fractional):
Cd 0.0000 0.0000 0.0000 x4
Ir 0.2500 0.2500 0.2500 x8
Cl 0.0000 0.0000 0.5000 x4

---

An optimized crystal structure of CdIrCl2, computed with PBE.

Calculated values
- energy above the most stable polymorph in this dataset (meV per atom) = 100.6
- volume (Å³ per atom) = 25.28
- raw formation energy (meV/atom) = -77
- total DFT energy (no corrections) (eV for the cell shown) = -13.8

Cell: 4.3935 3.3297 7.2465 Å, 90.00 107.44 90.00°
Space group Pm (No. 6)
Symmetry-distinct sites (fractional):
Cd 0.0000 0.0000 0.0000 x1
Ir 0.5385 0.5000 0.0776 x1
Cl 0.3709 0.5000 0.7412 x1
Cl 0.6613 0.0000 0.3253 x1

---

An optimized crystal structure of CdIr2Cl, computed with PBE.

Calculated values
- energy above the most stable polymorph in this dataset (meV per atom) = 0.0
- volume (Å³ per atom) = 18.66
- raw formation energy (meV/atom) = 195
- total DFT energy (no corrections) (eV for the cell shown) = -19.7

Cell: 2.8646 3.5073 7.4278 Å, 90.00 90.19 90.00°
Space group Pm (No. 6)
Symmetry-distinct sites (fractional):
Cd 0.0000 0.0000 0.0000 x1
Ir 0.4979 0.5000 0.7608 x1
Ir 0.9962 0.0000 0.5793 x1
Cl 0.9939 0.5000 0.3434 x1

---

An optimized crystal structure of CdIrCl2, computed with PBE.

Calculated values
- energy above the most stable polymorph in this dataset (meV per atom) = 299.7
- volume (Å³ per atom) = 30.33
- raw formation energy (meV/atom) = 122
- total DFT energy (no corrections) (eV for the cell shown) = -26.0

Cell: 3.3362 8.1971 8.8734 Å, 90.00 90.00 90.00°
Space group Imm2 (No. 44)
Symmetry-distinct sites (fractional):
Cd 0.0000 0.0000 0.0000 x2
Ir 0.0000 0.5000 0.2513 x2
Cl 0.0000 0.0000 0.5821 x2
Cl 0.0000 0.5000 0.7161 x2